! EuTl PBE relaxed; values from VASP
! - distance to the lowest polymorph of the same formula (meV per atom) = 300
! - symmetry = No. 225
! - crystal system = cubic
&SYSTEM
  ibrav = 0, nat = 2, ntyp = 2
/
ATOMIC_SPECIES
Eu 151.96 Eu.upf
Tl 204.38 Tl.upf
CELL_PARAMETERS angstrom
0.000 3.324 3.324
3.324 0.000 3.324
3.324 3.324 0.000
ATOMIC_POSITIONS angstrom
Eu 0.000 0.000 0.000
Tl 3.324 3.324 3.324

---

! EuTl5 PBE relaxed; values from VASP
! - symmetry = No. 65
! - crystal system = orthorhombic
&SYSTEM
  ibrav = 0, nat = 6, ntyp = 2
/
ATOMIC_SPECIES
Eu 151.96 Eu.upf
Tl 204.38 Tl.upf
CELL_PARAMETERS angstrom
2.505 -7.137 0.000
2.505 7.137 0.000
0.000 0.000 5.021
ATOMIC_POSITIONS angstrom
Eu 0.000 0.000 0.000
Tl 2.505 4.703 2.511
Tl 2.505 2.491 0.000
Tl 2.505 0.000 2.511
Tl 2.505 -2.491 0.000
Tl 2.505 -4.703 2.511

---

! EuTl2 PBE relaxed; values from VASP
! - symmetry = No. 139
! - crystal system = tetragonal
&SYSTEM
  ibrav = 0, nat = 3, ntyp = 2
/
ATOMIC_SPECIES
Eu 151.96 Eu.upf
Tl 204.38 Tl.upf
CELL_PARAMETERS angstrom
-1.939 1.939 6.128
1.939 -1.939 6.128
1.939 1.939 -6.128
ATOMIC_POSITIONS angstrom
Eu 0.000 0.000 0.000
Tl 0.000 0.000 3.989
Tl 0.000 0.000 8.267

---

! Eu3Tl PBE relaxed; values from VASP
! - symmetry = No. 139
! - crystal system = tetragonal
&SYSTEM
  ibrav = 0, nat = 4, ntyp = 2
/
ATOMIC_SPECIES
Eu 151.96 Eu.upf
Tl 204.38 Tl.upf
CELL_PARAMETERS angstrom
-2.609 2.609 5.072
2.609 -2.609 5.072
2.609 2.609 -5.072
ATOMIC_POSITIONS angstrom
Eu 0.000 0.000 0.000
Eu 2.609 0.000 2.536
Eu 0.000 2.609 2.536
Tl 0.000 0.000 5.072

---

! EuTl3 PBE relaxed; values from VASP
! - symmetry = No. 139
! - crystal system = tetragonal
&SYSTEM
  ibrav = 0, nat = 4, ntyp = 2
/
ATOMIC_SPECIES
Eu 151.96 Eu.upf
Tl 204.38 Tl.upf
CELL_PARAMETERS angstrom
-2.473 2.473 4.881
2.473 -2.473 4.881
2.473 2.473 -4.881
ATOMIC_POSITIONS angstrom
Eu 0.000 0.000 0.000
Tl 2.473 0.000 2.441
Tl 0.000 0.000 4.881
Tl 0.000 2.473 2.441

---

! EuTl3 PBE relaxed; values from VASP
! - symmetry = No. 225
! - crystal system = cubic
&SYSTEM
  ibrav = 0, nat = 4, ntyp = 2
/
ATOMIC_SPECIES
Eu 151.96 Eu.upf
Tl 204.38 Tl.upf
CELL_PARAMETERS angstrom
0.000 3.917 3.917
3.917 0.000 3.917
3.917 3.917 0.000
ATOMIC_POSITIONS angstrom
Eu 0.000 0.000 0.000
Tl 1.959 1.959 1.959
Tl 3.917 3.917 3.917
Tl 5.876 5.876 5.876

---

! EuTl3 PBE relaxed; values from VASP
! - symmetry = No. 221
! - crystal system = cubic
&SYSTEM
  ibrav = 0, nat = 4, ntyp = 2
/
ATOMIC_SPECIES
Eu 151.96 Eu.upf
Tl 204.38 Tl.upf
CELL_PARAMETERS angstrom
4.895 0.000 0.000
0.000 4.895 0.000
0.000 0.000 4.895
ATOMIC_POSITIONS angstrom
Eu 0.000 0.000 0.000
Tl 0.000 2.447 2.447
Tl 2.447 0.000 2.447
Tl 2.447 2.447 0.000

---

! EuTl3 PBE relaxed; values from VASP
! - symmetry = No. 194
! - crystal system = hexagonal
&SYSTEM
  ibrav = 0, nat = 8, ntyp = 2
/
ATOMIC_SPECIES
Eu 151.96 Eu.upf
Tl 204.38 Tl.upf
CELL_PARAMETERS angstrom
6.929 0.000 0.000
-3.465 6.001 0.000
0.000 0.000 5.653
ATOMIC_POSITIONS angstrom
Eu 0.000 4.001 1.413
Eu 3.465 2.000 4.239
Tl 0.000 1.964 4.239
Tl -1.764 5.019 4.239
Tl 1.701 0.982 1.413
Tl 1.764 5.019 4.239
Tl 5.228 0.982 1.413
Tl 3.465 4.037 1.413

---

DFT formation energy (computed, eV/atom): -0.13 -0.17 -0.27 -0.12 -0.25 -0.23 -0.27 -0.26
VASP energy (computed, eV for the cell shown): -12.908 -23.105 -15.817 -33.669 -18.354 -18.283 -18.461 -36.829
Magnetic moment (computed, μB per formula unit): 7.510 7.129 7.284 6.985 7.171 7.048 7.236 7.237